1.
The following is a PBE-GGA calculation of crystalline Pm3Nd2Ho6 at its relaxed geometry, from Alexandria via LeMat-Bulk.

Cell lengths 4.768, 4.768, 33.255 Å; angles 90.00, 90.00, 90.00 degrees
Space group I4/mmm (No. 139)
Unique sites:
Pm: 0.000 0.000 0.000
Pm: 0.000 0.000 0.203
Nd: 0.000 0.000 0.454
Ho: 0.000 0.000 0.307
Ho: 0.000 0.500 0.121

The raw total energy is -4.4002 eV/atom. As for the energy of formation from the pure elements: 0.259 eV per atom. The energy above the lowest structure with this stoichiometry is 74 meV/atom. The value obtained for the density of states at the Fermi level is 32.484 states/eV/cell.

=====

2.
The following is a PBE-GGA calculation of crystalline TaVPd6 at its relaxed geometry, from Alexandria via LeMat-Bulk.

Cell lengths 5.589, 5.589, 3.929 Å; angles 90.00, 90.00, 90.00 degrees
Space group P4/mmm (No. 123)
Unique sites:
Ta: 0.000 0.000 0.000
V: 0.500 0.500 0.000
Pd: 0.000 0.500 0.000
Pd: 0.248 0.248 0.500

The raw total energy is -6.8496 eV/atom. As for the energy of formation from the pure elements: -0.334 eV per atom. The energy above the lowest structure with this stoichiometry is 0 meV/atom. The value obtained for the density of states at the Fermi level is 7.775 states/eV/cell.

=====

3.
The following is a PBE-GGA calculation of crystalline KIn4Mo at its relaxed geometry, from Alexandria via LeMat-Bulk.

Cell lengths 8.594, 8.594, 8.594 Å; angles 90.00, 90.00, 90.00 degrees
Space group F-43m (No. 216)
Unique sites:
K: 0.000 0.000 0.000
In: 0.124 0.124 0.376
Mo: 0.250 0.250 0.750

The raw total energy is -3.2600 eV/atom. As for the energy of formation from the pure elements: 0.554 eV per atom. The value obtained for the density of states at the Fermi level is 18.107 states/eV/cell.

=====

4.
The following is a PBE-GGA calculation of crystalline CeEuY2 at its relaxed geometry, from Alexandria via LeMat-Bulk.

Cell lengths 5.113, 5.113, 5.133 Å; angles 90.00, 90.00, 90.00 degrees
Space group P4/mmm (No. 123)
Unique sites:
Ce: 0.000 0.000 0.000
Eu: 0.500 0.500 0.000
Y: 0.000 0.500 0.500

The raw total energy is -7.1241 eV/atom. As for the energy of formation from the pure elements: 0.160 eV per atom. The energy above the lowest structure with this stoichiometry is 0 meV/atom. The value obtained for the density of states at the Fermi level is 8.686 states/eV/cell.

=====

Q: What is the energy of formation from the pure elements in the first record?
A: 0.259 eV per atom

=====

Q: Look up the energy of formation from the pure elements of the first one.
A: 0.259 eV per atom